VASP calculation (PBE with a Hubbard U) on a geometry-optimized FeCoN2O structure.

Structure (extended XYZ):
```
5
Lattice="-0.8212 -2.5691 2.6580 3.2210 0.8388 1.8059 -1.8043 2.6385 1.9927" Properties=species:S:1:pos:R:3 pbc="T T T"
N 1.6105 0.4194 0.9029
N -0.4106 -1.2845 1.3290
Co 0.2977 0.4541 3.2283
O -0.9022 1.3192 0.9964
Fe 0.0000 0.0000 0.0000
```

Computed properties:
The total energy comes out at -0.2002 Ha/atom. Its space group is No. 123.